No. 1
Below is crystalline Na3Y3IO8 at its relaxed geometry, with properties calculated at the PBE level.

Structure (POSCAR):
```
Na3Y3IO8
1.0
-5.979 1.928 2.545
0.124 -3.434 -6.132
1.304 -3.403 5.641
Y Na O I
3 3 8 1
Cartesian
0.714 -3.419 -0.245
-2.275 -2.455 1.027
-2.337 -0.738 4.093
0.000 0.000 0.000
0.062 -1.717 -3.066
-2.927 -0.753 -1.793
-1.109 -0.718 2.107
-1.195 -2.362 -1.017
-0.225 -5.229 -1.422
-4.326 0.319 3.477
-0.513 -3.737 1.626
-3.441 -4.192 -0.053
-3.356 -2.548 3.072
-4.038 -1.173 0.428
0.652 -1.702 2.821
```

## Properties
Formation energy (no corrections) (eV/atom): -2.18



No. 2
Below is crystalline Ca2CdAs2 at its relaxed geometry, with properties calculated at the PBE level.

Structure (POSCAR):
```
Ca2CdAs2
1.0
-3.775 -4.041 -9.534
-4.101 -7.505 -6.952
-14.422 1.097 -0.353
Ca As Cd
10 10 5
Cartesian
-13.840 -9.131 -14.001
-17.481 -8.510 -13.628
-13.438 -0.772 -2.737
-9.726 -1.379 -3.080
-16.695 -3.639 -6.994
-6.115 -0.816 -1.868
-16.591 -10.652 -16.389
-6.493 -4.806 -7.269
-4.978 -2.981 -4.629
-2.674 -1.200 -1.948
-12.379 -10.992 -16.312
-8.501 -7.527 -11.174
-15.436 -2.032 -4.680
-15.596 -7.274 -11.732
-12.101 -6.193 -9.839
-19.503 -10.550 -16.621
-7.923 -2.936 -4.941
-11.967 -3.716 -6.500
-8.428 -9.957 -14.424
-4.788 -6.560 -9.406
-14.990 -5.720 -9.571
-11.193 -7.879 -11.986
-10.034 -4.977 -7.947
-6.489 -8.800 -12.627
-0.008 0.000 -0.001
```

## Properties
ΔH_f (0 K) (eV/f.u.): -4.67



No. 3
Below is crystalline Tm3V5S12 at its relaxed geometry, with properties calculated at the PBE level.

Structure (POSCAR):
```
Tm3V5S12
1.0
12.849 0.000 0.000
-4.283 12.114 0.000
-4.283 -6.057 10.491
Tm V S
12 20 48
Cartesian
3.212 6.814 6.557
-3.212 -2.271 9.179
3.212 0.000 7.868
-5.354 6.057 7.868
-3.212 2.271 9.179
5.354 0.757 3.934
7.495 8.328 1.311
1.071 -0.757 3.934
1.071 6.057 2.623
7.495 3.786 1.311
-1.071 5.300 6.557
9.636 0.000 2.623
-1.071 0.757 6.557
-1.071 3.028 2.623
4.283 -3.028 5.245
-2.141 -3.028 5.245
-1.071 9.842 1.311
7.495 -0.757 6.557
5.354 5.300 3.934
2.141 3.028 5.245
4.283 6.057 0.000
3.212 2.271 1.311
-2.141 6.057 0.000
6.424 0.000 0.000
5.354 -3.786 9.179
-4.283 3.028 5.245
0.000 0.000 0.000
5.354 3.028 7.868
-3.212 6.814 3.934
1.071 3.786 9.179
3.212 9.085 2.623
1.071 -3.028 7.868
4.195 2.095 6.177
-4.859 0.006 8.617
5.848 6.063 1.873
-3.767 5.390 5.588
-4.370 8.745 3.971
-1.565 -0.006 8.617
0.087 3.962 4.314
4.859 1.625 9.559
8.478 1.274 0.343
-0.516 0.884 2.216
5.288 -1.013 6.187
5.419 1.823 1.275
2.718 4.437 0.942
1.565 1.620 9.549
8.049 0.667 4.903
2.229 -2.095 6.177
-1.136 -3.221 7.462
6.512 3.368 3.971
9.571 2.836 3.029
-2.229 2.688 6.520
2.718 7.682 0.932
-3.278 10.291 1.275
4.799 5.173 8.275
5.419 9.278 3.029
3.147 5.044 4.304
5.908 6.724 5.588
1.625 4.506 7.119
-1.136 4.234 9.216
-1.005 7.070 4.304
3.767 -1.551 3.372
7.561 -4.234 9.216
-1.625 -0.667 4.903
0.516 7.608 7.119
6.512 10.840 0.343
2.658 1.551 3.372
-0.576 7.676 0.942
-2.229 -4.783 10.148
-5.288 3.221 7.462
1.136 1.013 6.187
-4.195 4.783 10.148
9.142 6.051 1.873
-0.576 4.432 0.932
6.941 -0.884 2.216
4.859 -1.620 9.549
1.565 -1.625 9.559
8.653 -2.688 6.520
2.054 8.151 4.314
-2.658 6.941 8.275
```

## Properties
Formation energy (no corrections) (eV/atom): -1.19



Summary of magnetization in μB/f.u.
1.0 0.0 10.0
(order as listed above)
Summary of uncorrected energy in eV/atom
-6.486 -3.777 -6.622
(order as listed above)